This record from the Alexandria database describes Hf5PtAu after structural relaxation. The functional is PBE-GGA.

The structure in extended XYZ format:
```
14
Lattice="5.834 -4.870 0.000 5.834 4.870 0.000 -1.737 0.000 5.105" Properties=species:S:1:pos:R:3 pbc="T T T"
Hf 1.962 0.870 2.863
Hf 3.982 1.949 0.815
Hf 4.531 2.610 3.829
Hf 2.831 -0.870 0.310
Hf 6.817 1.949 1.738
Hf 3.114 -1.949 3.367
Hf 7.099 0.870 4.795
Hf 5.400 -2.610 1.276
Hf 5.948 -1.949 4.290
Hf 7.968 -0.870 2.242
Pt 5.834 0.000 0.000
Pt 4.965 0.000 2.553
Au 5.400 4.318 1.276
Au 4.531 -4.318 3.829
```

Computed properties:
**Raw total energy**: -61.46 eV/f.u.
**Energy relative to the elements**: -32.7 kJ per mole of atoms

=====

This record from the Alexandria database describes K2Hg2F after structural relaxation. The functional is PBE-GGA.

The structure in extended XYZ format:
```
5
Lattice="-3.411 3.411 4.297 3.411 -3.411 4.297 3.411 3.411 -4.297" Properties=species:S:1:pos:R:3 pbc="T T T"
K 3.411 0.000 2.148
K 0.000 3.411 2.148
Hg 0.000 0.000 1.653
Hg 0.000 0.000 6.941
F 0.000 0.000 4.297
```

Computed properties:
**Raw total energy**: -8.24 eV/f.u.
**ΔE_f (raw)**: -0.715 eV per atom

=====

This record from the Alexandria database describes Zr2TiCo after structural relaxation. The functional is PBE-GGA.

The structure in extended XYZ format:
```
4
Lattice="3.220 0.000 0.000 0.000 3.220 0.000 0.000 0.000 6.982" Properties=species:S:1:pos:R:3 pbc="T T T"
Zr 0.000 0.000 1.563
Zr 0.000 0.000 5.419
Ti 1.610 1.610 3.491
Co 1.610 1.610 0.000
```

Computed properties:
**Raw total energy**: -32.55 eV/f.u.
**Energy relative to the elements**: -10.9 kJ per mole of atoms

=====

This record from the Alexandria database describes Pr2Dy3TmS6 after structural relaxation. The functional is PBE-GGA.

The structure in extended XYZ format:
```
12
Lattice="8.631 -1.971 0.000 8.631 1.971 0.000 -1.858 0.000 7.769" Properties=species:S:1:pos:R:3 pbc="T T T"
Pr 2.274 0.000 2.613
Pr 13.130 0.000 5.156
Dy 1.387 0.000 6.476
Dy 7.702 0.000 3.884
Dy 14.017 0.000 1.292
Tm 8.631 0.000 0.000
S -1.324 0.000 5.886
S 4.082 0.000 7.226
S 5.082 0.000 3.154
S 10.322 0.000 4.615
S 11.322 0.000 0.543
S 16.728 0.000 1.883
```

Computed properties:
**Raw total energy**: -76.43 eV/f.u.
**ΔE_f (raw)**: -1.986 eV per atom

=====

Question: Which of these has the highest raw total energy?
Answer: K2Hg2F

=====

Question: What is the raw total energy in the first record?
Answer: -61.46 eV/f.u.

=====

Question: Which formula does entry 3 have?
Answer: Zr2TiCo